Entry 1:
Entry from Alexandria: crystalline Sm2PuSb3 at its relaxed geometry (PBE).

a = 7.723 Å, b = 13.370 Å, c = 7.710 Å
α = 90.00°, β = 109.47°, γ = 90.00°
Space group C2/m (No. 12)
Asymmetric unit:
Sm 0.000 0.000 0.000 [2 per cell]
Sm 0.000 0.166 0.500 [4 per cell]
Sm 0.000 0.500 0.500 [2 per cell]
Pu 0.000 0.333 0.000 [4 per cell]
Sb 0.246 0.500 0.247 [4 per cell]
Sb 0.250 0.168 0.246 [8 per cell]

## Properties
The uncorrected formation energy comes out at -0.979 eV/atom. As for the total energy: -168.05 eV for the cell shown.

Entry 2:
Entry from Alexandria: crystalline SmPu2Sb3 at its relaxed geometry (PBE).

a = 4.441 Å, b = 6.273 Å, c = 13.317 Å
α = 90.00°, β = 90.00°, γ = 90.00°
Space group Immm (No. 71)
Asymmetric unit:
Sm 0.000 0.000 0.000 [2 per cell]
Pu 0.000 0.000 0.335 [4 per cell]
Sb 0.000 0.500 0.000 [2 per cell]
Sb 0.000 0.500 0.330 [4 per cell]

## Properties
The uncorrected formation energy comes out at -0.784 eV/atom. As for the total energy: -100.91 eV for the cell shown.

Entry 3:
Entry from Alexandria: crystalline SmPuTh2Sb5 at its relaxed geometry (PBE).

a = 5.354 Å, b = 5.354 Å, c = 11.542 Å
α = 90.00°, β = 90.00°, γ = 90.00°
Space group P4/mmm (No. 123)
Asymmetric unit:
Sm 0.000 0.000 0.000 [1 per cell]
Pu 0.000 0.000 0.500 [1 per cell]
Th 0.500 0.500 0.193 [2 per cell]
Sb 0.000 0.000 0.252 [2 per cell]
Sb 0.000 0.500 0.000 [2 per cell]
Sb 0.500 0.500 0.500 [1 per cell]

## Properties
The uncorrected formation energy comes out at -0.002 eV/atom. As for the total energy: -54.52 eV for the cell shown.

Entry 4:
Entry from Alexandria: crystalline SmPuTh2Sb4 at its relaxed geometry (PBE).

a = 7.745 Å, b = 4.496 Å, c = 7.774 Å
α = 90.00°, β = 109.60°, γ = 90.00°
Space group P2/m (No. 10)
Asymmetric unit:
Sm 0.000 0.000 0.000 [1 per cell]
Pu 0.000 0.500 0.500 [1 per cell]
Th 0.500 0.000 0.500 [1 per cell]
Th 0.500 0.500 0.000 [1 per cell]
Sb 0.246 0.000 0.748 [2 per cell]
Sb 0.247 0.500 0.250 [2 per cell]

## Properties
The uncorrected formation energy comes out at -0.934 eV/atom. As for the total energy: -57.85 eV for the cell shown.